1.
VASP calculation (PBE) on HoSiPt after structural relaxation.

Properties
- mass density (kg/m³) = 10639
- V (Å³/cell) = 242.3
- crystal system = orthorhombic
- space group = Pnma, No. 62
- electronic total energy (eV for the cell shown) = -76.0

a = 5.645 Å, b = 4.227 Å, c = 10.155 Å
α = 90.00°, β = 90.00°, γ = 90.00°
Fractional coordinates of all 12 atoms:
Pt (0.854, 0.250, 0.552)
Si (0.634, 0.250, 0.160)
Ho (0.364, 0.250, 0.631)
Pt (0.146, 0.750, 0.448)
Si (0.134, 0.250, 0.340)
Pt (0.646, 0.750, 0.052)
Si (0.866, 0.750, 0.660)
Si (0.366, 0.750, 0.840)
Ho (0.864, 0.250, 0.869)
Ho (0.136, 0.750, 0.131)
Ho (0.636, 0.750, 0.369)
Pt (0.354, 0.250, 0.948)

=====

2.
VASP calculation (PBE) on Ho2SiPt after structural relaxation.

Properties
- mass density (kg/m³) = 10432
- V (Å³/cell) = 176.1
- crystal system = orthorhombic
- space group = Pmc2_1, No. 26
- electronic total energy (eV for the cell shown) = -49.6

a = 4.222 Å, b = 5.669 Å, c = 7.355 Å
α = 90.00°, β = 90.00°, γ = 90.00°
Fractional coordinates of all 8 atoms:
Si (0.500, 0.385, 0.959)
Ho (0.500, 0.110, 0.322)
Si (0.500, 0.615, 0.459)
Pt (0.000, 0.116, 0.041)
Ho (0.000, 0.621, 0.178)
Pt (0.000, 0.884, 0.541)
Ho (0.000, 0.379, 0.678)
Ho (0.500, 0.890, 0.822)

=====

3.
VASP calculation (PBE) on HoSiPt after structural relaxation.

Properties
- mass density (kg/m³) = 11561
- V (Å³/cell) = 223.0
- crystal system = orthorhombic
- space group = Pnma, No. 62
- electronic total energy (eV for the cell shown) = -78.7

a = 6.976 Å, b = 4.281 Å, c = 7.466 Å
α = 90.00°, β = 90.00°, γ = 90.00°
Fractional coordinates of all 12 atoms:
Si (0.688, 0.750, 0.912)
Ho (0.997, 0.250, 0.800)
Si (0.188, 0.750, 0.588)
Ho (0.497, 0.250, 0.700)
Ho (0.003, 0.750, 0.200)
Ho (0.503, 0.750, 0.300)
Pt (0.200, 0.250, 0.415)
Pt (0.300, 0.750, 0.915)
Pt (0.800, 0.750, 0.585)
Si (0.812, 0.250, 0.412)
Pt (0.700, 0.250, 0.085)
Si (0.312, 0.250, 0.088)

=====

4.
VASP calculation (PBE) on HoSiPt after structural relaxation.

Properties
- mass density (kg/m³) = 11797
- V (Å³/cell) = 163.9
- crystal system = hexagonal
- space group = P-62m, No. 189
- electronic total energy (eV for the cell shown) = -58.1

a = 6.732 Å, b = 6.732 Å, c = 4.176 Å
α = 90.00°, β = 90.00°, γ = 120.00°
Fractional coordinates of all 9 atoms:
Si (0.333, 0.667, 0.500)
Pt (0.000, 0.247, 0.500)
Si (0.667, 0.333, 0.500)
Pt (0.753, 0.753, 0.500)
Ho (0.426, 0.426, 0.000)
Ho (0.574, 0.000, 0.000)
Pt (0.247, 0.000, 0.500)
Ho (0.000, 0.574, 0.000)
Si (0.000, 0.000, 0.000)

=====

5.
VASP calculation (PBE) on HoSiPt after structural relaxation.

Properties
- mass density (kg/m³) = 11478
- V (Å³/cell) = 168.4
- crystal system = hexagonal
- space group = P-62m, No. 189
- electronic total energy (eV for the cell shown) = -57.9

a = 7.080 Å, b = 7.080 Å, c = 3.880 Å
α = 90.00°, β = 90.00°, γ = 120.00°
Fractional coordinates of all 9 atoms:
Ho (0.000, 0.590, 0.000)
Ho (0.410, 0.410, 0.000)
Si (0.248, 0.000, 0.500)
Si (0.000, 0.248, 0.500)
Pt (0.000, 0.000, 0.000)
Pt (0.333, 0.667, 0.500)
Ho (0.590, 0.000, 0.000)
Pt (0.667, 0.333, 0.500)
Si (0.752, 0.752, 0.500)

=====

6.
VASP calculation (PBE) on HoSiPt after structural relaxation.

Properties
- mass density (kg/m³) = 10524
- V (Å³/cell) = 61.2
- crystal system = cubic
- space group = F-43m, No. 216
- electronic total energy (eV for the cell shown) = -18.2

a = 4.424 Å, b = 4.424 Å, c = 4.424 Å
α = 60.00°, β = 60.00°, γ = 60.00°
Fractional coordinates of all 3 atoms:
Ho (0.250, 0.250, 0.250)
Si (0.000, 0.000, 0.000)
Pt (0.750, 0.750, 0.750)

=====

7.
VASP calculation (PBE) on TbHoSi2Pt after structural relaxation.

Properties
- mass density (kg/m³) = 9533
- V (Å³/cell) = 200.4
- crystal system = monoclinic
- space group = C2/m, No. 12
- electronic total energy (eV for the cell shown) = -62.6

a = 5.604 Å, b = 5.604 Å, c = 10.211 Å
α = 115.72°, β = 115.72°, γ = 45.05°
Fractional coordinates of all 10 atoms:
Si (0.518, 0.518, 0.888)
Si (0.482, 0.482, 0.112)
Si (0.359, 0.359, 0.443)
Si (0.641, 0.641, 0.557)
Pt (0.273, 0.273, 0.659)
Pt (0.727, 0.727, 0.341)
Ho (0.188, 0.188, 0.109)
Ho (0.812, 0.812, 0.891)
Tb (0.007, 0.007, 0.325)
Tb (0.993, 0.993, 0.675)

=====

8.
VASP calculation (PBE) on HoTmSi2Pt4 after structural relaxation.

Properties
- mass density (kg/m³) = 14036
- V (Å³/cell) = 138.5
- crystal system = orthorhombic
- space group = Amm2, No. 38
- electronic total energy (eV for the cell shown) = -53.5

a = 7.098 Å, b = 5.430 Å, c = 5.430 Å
α = 41.43°, β = 90.00°, γ = 90.00°
Fractional coordinates of all 8 atoms:
Ho (0.500, 0.551, 0.551)
Si (0.000, 0.732, 0.732)
Si (0.500, 0.269, 0.269)
Pt (0.701, 0.858, 0.858)
Pt (0.299, 0.858, 0.858)
Pt (0.200, 0.142, 0.142)
Tm (0.000, 0.449, 0.449)
Pt (0.800, 0.142, 0.142)

=====

9.
VASP calculation (PBE) on HoTmSi2Pt after structural relaxation.

Properties
- mass density (kg/m³) = 9956
- V (Å³/cell) = 195.2
- crystal system = monoclinic
- space group = C2/m, No. 12
- electronic total energy (eV for the cell shown) = -62.3

a = 5.543 Å, b = 5.543 Å, c = 10.089 Å
α = 115.26°, β = 115.26°, γ = 45.25°
Fractional coordinates of all 10 atoms:
Tm (0.993, 0.993, 0.674)
Si (0.361, 0.361, 0.443)
Tm (0.007, 0.007, 0.326)
Si (0.639, 0.639, 0.557)
Ho (0.189, 0.189, 0.109)
Si (0.481, 0.481, 0.113)
Pt (0.273, 0.273, 0.656)
Ho (0.811, 0.811, 0.891)
Si (0.519, 0.519, 0.887)
Pt (0.727, 0.727, 0.344)

=====

10.
VASP calculation (PBE) on YHoSi2Pt after structural relaxation.

Properties
- mass density (kg/m³) = 8447
- V (Å³/cell) = 198.6
- crystal system = monoclinic
- space group = C2/m, No. 12
- electronic total energy (eV for the cell shown) = -66.4

a = 5.594 Å, b = 5.594 Å, c = 10.153 Å
α = 115.53°, β = 115.53°, γ = 44.95°
Fractional coordinates of all 10 atoms:
Si (0.360, 0.360, 0.442)
Ho (0.995, 0.995, 0.674)
Pt (0.274, 0.274, 0.655)
Si (0.640, 0.640, 0.558)
Pt (0.726, 0.726, 0.345)
Y (0.188, 0.188, 0.108)
Si (0.481, 0.481, 0.113)
Ho (0.005, 0.005, 0.326)
Y (0.812, 0.812, 0.892)
Si (0.519, 0.519, 0.887)

=====

11.
VASP calculation (PBE) on Sm3Ho3Te2Pt after structural relaxation.

Properties
- mass density (kg/m³) = 9336
- V (Å³/cell) = 248.3
- crystal system = hexagonal
- space group = P-62m, No. 189
- electronic total energy (eV for the cell shown) = -48.7

a = 8.445 Å, b = 8.445 Å, c = 4.021 Å
α = 90.00°, β = 90.00°, γ = 120.00°
Fractional coordinates of all 9 atoms:
Sm (0.595, 0.000, 0.000)
Sm (0.000, 0.595, 0.000)
Te (0.667, 0.333, 0.500)
Sm (0.405, 0.405, 0.000)
Te (0.333, 0.667, 0.500)
Ho (0.758, 0.758, 0.500)
Ho (0.242, 0.000, 0.500)
Ho (0.000, 0.242, 0.500)
Pt (0.000, 0.000, 0.000)

=====

12.
VASP calculation (PBE) on Sm3Ho3Te2Pt after structural relaxation.

Properties
- mass density (kg/m³) = 9298
- V (Å³/cell) = 249.3
- crystal system = hexagonal
- space group = P-62m, No. 189
- electronic total energy (eV for the cell shown) = -47.9

a = 8.545 Å, b = 8.545 Å, c = 3.943 Å
α = 90.00°, β = 90.00°, γ = 120.00°
Fractional coordinates of all 9 atoms:
Te (0.667, 0.333, 0.500)
Pt (0.000, 0.000, 0.000)
Sm (0.000, 0.250, 0.500)
Sm (0.750, 0.750, 0.500)
Sm (0.250, 0.000, 0.500)
Te (0.333, 0.667, 0.500)
Ho (0.000, 0.597, 0.000)
Ho (0.403, 0.403, 0.000)
Ho (0.597, 0.000, 0.000)

=====

13.
VASP calculation (PBE) on Tb2HoSn3Pt3 after structural relaxation.

Properties
- mass density (kg/m³) = 11993
- V (Å³/cell) = 197.2
- crystal system = orthorhombic
- space group = Amm2, No. 38
- electronic total energy (eV for the cell shown) = -53.9

a = 4.031 Å, b = 7.513 Å, c = 7.513 Å
α = 119.93°, β = 90.00°, γ = 90.00°
Fractional coordinates of all 9 atoms:
Pt (0.000, 0.999, 0.999)
Ho (0.000, 0.594, 0.594)
Pt (0.500, 0.666, 0.335)
Tb (0.000, 0.406, 0.000)
Sn (0.500, 0.742, 0.000)
Pt (0.500, 0.335, 0.666)
Tb (0.000, 0.000, 0.406)
Sn (0.500, 0.000, 0.742)
Sn (0.500, 0.258, 0.258)

=====

14.
VASP calculation (PBE) on HoTmSn2Pt4 after structural relaxation.

Properties
- mass density (kg/m³) = 13880
- V (Å³/cell) = 161.7
- crystal system = hexagonal
- space group = P-6m2, No. 187
- electronic total energy (eV for the cell shown) = -49.4

a = 4.547 Å, b = 4.547 Å, c = 9.032 Å
α = 90.00°, β = 90.00°, γ = 120.00°
Fractional coordinates of all 8 atoms:
Pt (0.000, 0.000, 0.661)
Sn (0.667, 0.333, 0.751)
Sn (0.667, 0.333, 0.249)
Ho (0.333, 0.667, 0.500)
Pt (0.333, 0.667, 0.158)
Pt (0.333, 0.667, 0.842)
Tm (0.000, 0.000, 0.000)
Pt (0.000, 0.000, 0.339)

=====

15.
VASP calculation (PBE) on HoTm2Sn3Pt3 after structural relaxation.

Properties
- mass density (kg/m³) = 12422
- V (Å³/cell) = 193.1
- crystal system = orthorhombic
- space group = Amm2, No. 38
- electronic total energy (eV for the cell shown) = -53.5

a = 3.990 Å, b = 7.479 Å, c = 7.479 Å
α = 120.13°, β = 90.00°, γ = 90.00°
Fractional coordinates of all 9 atoms:
Pt (0.500, 0.668, 0.333)
Pt (0.000, 0.999, 0.999)
Sn (0.500, 0.260, 0.000)
Ho (0.000, 0.406, 0.406)
Pt (0.500, 0.333, 0.668)
Sn (0.500, 0.000, 0.260)
Tm (0.000, 0.595, 0.000)
Sn (0.500, 0.740, 0.740)
Tm (0.000, 0.000, 0.595)

=====

16.
VASP calculation (PBE) on YHo2Sn3Pt3 after structural relaxation.

Properties
- mass density (kg/m³) = 11524
- V (Å³/cell) = 196.0
- crystal system = orthorhombic
- space group = Amm2, No. 38
- electronic total energy (eV for the cell shown) = -55.7

a = 4.016 Å, b = 7.511 Å, c = 7.511 Å
α = 120.13°, β = 90.00°, γ = 90.00°
Fractional coordinates of all 9 atoms:
Sn (0.500, 0.259, 0.259)
Pt (0.500, 0.332, 0.667)
Y (0.000, 0.594, 0.594)
Sn (0.500, 0.741, 0.000)
Pt (0.500, 0.667, 0.332)
Pt (0.000, 0.001, 0.001)
Sn (0.500, 0.000, 0.741)
Ho (0.000, 0.406, 0.000)
Ho (0.000, 0.000, 0.406)

=====

17.
VASP calculation (PBE) on SrHoPt after structural relaxation.

Properties
- mass density (kg/m³) = 8428
- V (Å³/cell) = 88.2
- crystal system = cubic
- space group = F-43m, No. 216
- electronic total energy (eV for the cell shown) = -14.2

a = 4.996 Å, b = 4.996 Å, c = 4.996 Å
α = 60.00°, β = 60.00°, γ = 60.00°
Fractional coordinates of all 3 atoms:
Ho (0.250, 0.250, 0.250)
Sr (0.750, 0.750, 0.750)
Pt (0.000, 0.000, 0.000)

=====

18.
VASP calculation (PBE) on HoTaPt after structural relaxation.

Properties
- formation energy from the elements (meV/atom) = -165.1
- mass density (kg/m³) = 13022
- V (Å³/cell) = 69.0
- crystal system = cubic
- space group = F-43m, No. 216

a = 4.603 Å, b = 4.603 Å, c = 4.603 Å
α = 60.00°, β = 60.00°, γ = 60.00°
Fractional coordinates of all 3 atoms:
Ta (0.750, 0.750, 0.750)
Ho (0.250, 0.250, 0.250)
Pt (0.000, 0.000, 0.000)

=====

19.
VASP calculation (PBE) on HoTaPt after structural relaxation.

Properties
- formation energy from the elements (meV/atom) = 822.5
- mass density (kg/m³) = 13030
- V (Å³/cell) = 68.9
- crystal system = cubic
- space group = F-43m, No. 216

a = 4.603 Å, b = 4.603 Å, c = 4.603 Å
α = 60.00°, β = 60.00°, γ = 60.00°
Fractional coordinates of all 3 atoms:
Ho (0.000, 0.000, 0.000)
Ta (0.750, 0.750, 0.750)
Pt (0.250, 0.250, 0.250)

=====

20.
VASP calculation (PBE) on TbHoPt2 after structural relaxation.

Properties
- formation energy from the elements (meV/atom) = -1287.1
- mass density (kg/m³) = 13466
- V (Å³/cell) = 176.1
- crystal system = orthorhombic
- space group = Pmn2_1, No. 31

a = 4.507 Å, b = 7.014 Å, c = 5.570 Å
α = 90.00°, β = 90.00°, γ = 90.00°
Fractional coordinates of all 8 atoms:
Ho (0.000, 0.432, 0.640)
Pt (0.000, 0.298, 0.156)
Ho (0.500, 0.568, 0.140)
Pt (0.500, 0.209, 0.844)
Tb (0.500, 0.069, 0.360)
Pt (0.000, 0.791, 0.344)
Tb (0.000, 0.931, 0.860)
Pt (0.500, 0.702, 0.656)

=====

21.
VASP calculation (PBE) on TbHoPt2 after structural relaxation.

Properties
- formation energy from the elements (meV/atom) = -1286.5
- mass density (kg/m³) = 13456
- V (Å³/cell) = 176.2
- crystal system = orthorhombic
- space group = Pmc2_1, No. 26

a = 4.503 Å, b = 5.568 Å, c = 7.028 Å
α = 90.00°, β = 90.00°, γ = 90.00°
Fractional coordinates of all 8 atoms:
Pt (0.500, 0.094, 0.455)
Pt (0.500, 0.906, 0.955)
Tb (0.500, 0.610, 0.318)
Tb (0.500, 0.390, 0.818)
Ho (0.000, 0.890, 0.682)
Pt (0.000, 0.595, 0.044)
Pt (0.000, 0.405, 0.544)
Ho (0.000, 0.110, 0.182)

=====

22.
VASP calculation (PBE) on TbHoPt2 after structural relaxation.

Properties
- formation energy from the elements (meV/atom) = -1286.7
- mass density (kg/m³) = 13458
- V (Å³/cell) = 176.2
- crystal system = monoclinic
- space group = P2_1/m, No. 11

a = 5.569 Å, b = 4.503 Å, c = 7.027 Å
α = 90.00°, β = 90.33°, γ = 90.00°
Fractional coordinates of all 8 atoms:
Tb (0.359, 0.250, 0.318)
Pt (0.846, 0.250, 0.454)
Pt (0.343, 0.750, 0.044)
Tb (0.641, 0.750, 0.682)
Ho (0.140, 0.250, 0.818)
Ho (0.860, 0.750, 0.182)
Pt (0.657, 0.250, 0.956)
Pt (0.154, 0.750, 0.546)

=====

23.
VASP calculation (PBE) on Ho4TePt after structural relaxation.

Properties
- mass density (kg/m³) = 8327
- V (Å³/cell) = 195.9
- crystal system = orthorhombic
- space group = Cmmm, No. 65
- electronic total energy (eV for the cell shown) = -31.7

a = 6.934 Å, b = 6.934 Å, c = 4.077 Å
α = 90.00°, β = 90.00°, γ = 91.93°
Fractional coordinates of all 6 atoms:
Ho (0.726, 0.274, 0.000)
Pt (0.000, 0.000, 0.000)
Ho (0.188, 0.188, 0.500)
Te (0.500, 0.500, 0.500)
Ho (0.274, 0.726, 0.000)
Ho (0.812, 0.812, 0.500)

=====

24.
VASP calculation (PBE) on Ho3TePt after structural relaxation.

Properties
- mass density (kg/m³) = 9208
- V (Å³/cell) = 294.8
- crystal system = tetragonal
- space group = I4/mcm, No. 140
- electronic total energy (eV for the cell shown) = -54.3

a = 7.613 Å, b = 7.613 Å, c = 7.613 Å
α = 123.31°, β = 123.31°, γ = 84.35°
Fractional coordinates of all 10 atoms:
Ho (0.250, 0.250, 0.000)
Ho (0.336, 0.164, 0.500)
Ho (0.750, 0.750, 0.000)
Pt (0.000, 0.000, 0.000)
Ho (0.664, 0.836, 0.500)
Te (0.250, 0.750, 0.500)
Ho (0.836, 0.336, 0.172)
Ho (0.164, 0.664, 0.828)
Pt (0.500, 0.500, 0.000)
Te (0.750, 0.250, 0.500)